(1)
## TlOs2Au (PBE-GGA)

Data for a relaxed TlOs2Au crystal.

Unit cell a=2.9057 b=2.8837 c=8.7103 alpha=90.00 beta=99.48 gamma=90.00
Positions (direct):
Tl: 0.0000 0.0000 0.0000
Os: 0.2158 0.0000 0.4505
Os: 0.6246 0.5000 0.2665
Au: 0.8360 0.5000 0.6948

Magnetic moment: 0.0 μB/f.u.
Calculated formation energy: 0.462 eV per atom
Distance to the lowest polymorph of the same formula: 0.00 eV per formula unit
Space group: Pm

(2)
## TlOsAu2 (PBE-GGA)

Data for a relaxed TlOsAu2 crystal.

Unit cell a=5.0645 b=5.0645 c=3.0863 alpha=90.00 beta=90.00 gamma=111.89
Positions (direct):
Tl: 0.0000 0.0000 0.0000
Os: 0.5000 0.5000 0.0000
Au: 0.0000 0.5000 0.5000
Au: 0.5000 0.0000 0.5000

Magnetic moment: 0.0 μB/f.u.
Calculated formation energy: 0.635 eV per atom
Distance to the lowest polymorph of the same formula: 0.17 eV per formula unit
Space group: Cmmm

(3)
## TlOs2Au (PBE-GGA)

Data for a relaxed TlOs2Au crystal.

Unit cell a=2.8933 b=4.8051 c=5.0630 alpha=90.00 beta=90.66 gamma=90.00
Positions (direct):
Tl: 0.0000 0.0000 0.0000
Os: 0.2243 0.5000 0.2812
Os: 0.7757 0.5000 0.7188
Au: 0.5000 0.0000 0.5000

Magnetic moment: 0.0 μB/f.u.
Calculated formation energy: 0.933 eV per atom
Distance to the lowest polymorph of the same formula: 1.89 eV per formula unit
Space group: P2/m

Please write out number 3 again, unchanged.
## TlOs2Au (PBE-GGA)

Data for a relaxed TlOs2Au crystal.

Unit cell a=2.8933 b=4.8051 c=5.0630 alpha=90.00 beta=90.66 gamma=90.00
Positions (direct):
Tl: 0.0000 0.0000 0.0000
Os: 0.2243 0.5000 0.2812
Os: 0.7757 0.5000 0.7188
Au: 0.5000 0.0000 0.5000

Magnetic moment: 0.0 μB/f.u.
Calculated formation energy: 0.933 eV per atom
Distance to the lowest polymorph of the same formula: 1.89 eV per formula unit
Space group: P2/m